Ba2EuCu2HgO7 | PBE-GGA | optimized geometry

Cell: 3.8897 3.8897 12.8569 Å, 90.00 90.00 90.00°
Last column: nearest neighbours and their distance in Å.
Element x y z (fractional)
O 0.0000 0.5000 0.3813  2 Cu 1.96
Cu 0.0000 0.0000 0.6368  4 O 1.96
O 0.5000 0.5000 0.0000  2 Ba 2.59, 4 Hg 2.75
O 0.0000 0.0000 0.1650  1 Hg 2.12
Hg 0.0000 0.0000 0.0000  2 O 2.12
O 0.5000 0.0000 0.6187  2 Cu 1.96
Ba 0.5000 0.5000 0.2013  5 O 2.59-2.79
O 0.5000 0.0000 0.3813  2 Cu 1.96
Cu 0.0000 0.0000 0.3632  4 O 1.96
O 0.0000 0.5000 0.6187  2 Cu 1.96
O 0.0000 0.0000 0.8350  1 Hg 2.12
Ba 0.5000 0.5000 0.7987  5 O 2.59-2.79
Eu 0.5000 0.5000 0.5000  8 O 2.47

Computed properties:
SG	No. 123
formation energy from raw total energies	-1568	meV/atom

***

Ba2SrHg6 | PBE-GGA | optimized geometry

Cell: 4.1870 8.9809 8.9810 Å, 120.00 90.00 90.00°
Last column: nearest neighbours and their distance in Å.
Element x y z (fractional)
Hg 0.5000 0.0000 0.3298  3 Hg 2.96-3.06
Hg 0.5000 0.6702 0.0000  3 Hg 2.96-3.06
Ba 0.0000 0.3333 0.6667  12 Hg 3.67
Hg 0.5000 0.0000 0.6702  3 Hg 2.96-3.06
Hg 0.5000 0.6702 0.6702  3 Hg 2.96-3.06
Hg 0.5000 0.3298 0.0000  3 Hg 2.96-3.06
Hg 0.5000 0.3298 0.3298  3 Hg 2.96-3.06
Ba 0.0000 0.6667 0.3333  12 Hg 3.67
Sr 0.0000 0.0000 0.0000  12 Hg 3.63

Computed properties:
SG	No. 191
ΔH_f (0 K)	-0.50	eV per atom

***

Pr2Nd2Sc | PBE-GGA | optimized geometry

Cell: 6.3219 7.9612 7.9689 Å, 119.97 90.00 90.00°
Last column: nearest neighbours and their distance in Å.
Element x y z (fractional)
Nd 0.7500 0.8052 0.6103  2 Sc 3.12, 2 Pr 3.30
Sc 0.5000 0.0000 0.0000  2 Nd 3.12, 4 Pr 3.12, 2 Sc 3.16
Pr 0.2500 0.1945 0.8036  2 Sc 3.12, 1 Nd 3.30, 1 Pr 3.30
Pr 0.2500 0.6091 0.8036  2 Sc 3.12, 1 Nd 3.30, 1 Pr 3.30
Pr 0.7500 0.8055 0.1964  2 Sc 3.12, 1 Nd 3.30, 1 Pr 3.30
Pr 0.7500 0.3909 0.1964  2 Sc 3.12, 1 Nd 3.30, 1 Pr 3.30
Nd 0.2500 0.1948 0.3897  2 Sc 3.12, 2 Pr 3.30
Nd 0.7500 0.3327 0.6655  4 Nd 3.69-4.00, 8 Pr 3.69-4.02
Sc 0.0000 0.0000 0.0000  2 Nd 3.12, 4 Pr 3.12, 2 Sc 3.16
Nd 0.2500 0.6673 0.3345  4 Nd 3.69-4.00, 8 Pr 3.69-4.02

Computed properties:
SG	No. 63
ΔH_f (0 K)	0.22	eV per atom

***

GeIrF2 | PBE-GGA | optimized geometry

Cell: 8.1193 8.1193 8.1193 Å, 19.65 19.65 19.65°
Last column: nearest neighbours and their distance in Å.
Element x y z (fractional)
F 0.9155 0.9155 0.9155  1 Ir 2.02
Ir 0.0000 0.0000 0.0000  2 F 2.02
Ge 0.5000 0.5000 0.5000  6 F 2.53, 6 Ge 2.77
F 0.0845 0.0845 0.0845  1 Ir 2.02

Computed properties:
SG	No. 166
formation energy from raw total energies	-804	meV/atom

***

Pm5PrY8 | PBE-GGA | optimized geometry

Cell: 8.5360 8.5360 8.5360 Å, 111.29 105.89 111.29°
Last column: nearest neighbours and their distance in Å.
Element x y z (fractional)
Pm 0.8622 0.8971 0.1859  8 Y 3.41-3.60, 2 Pm 3.62
Pm 0.0348 0.3236 0.1378  8 Y 3.41-3.60, 2 Pm 3.62
Y 0.3366 0.2589 0.4288  3 Pm 3.15-3.45, 1 Pr 3.23
Y 0.7225 0.2505 0.3274  5 Pm 3.35-3.57, 3 Y 3.65-3.69
Y 0.5280 0.6049 0.2775  5 Pm 3.35-3.57, 3 Y 3.65-3.69
Y 0.5712 0.9078 0.8301  3 Pm 3.15-3.45, 1 Pr 3.23
Pm 0.2888 0.1029 0.9652  8 Y 3.41-3.60, 2 Pm 3.62
Y 0.0769 0.7495 0.4720  5 Pm 3.35-3.57, 3 Y 3.65-3.69
Pr 0.2500 0.5000 0.7500  4 Y 3.23
Y 0.1699 0.7411 0.0777  3 Pm 3.15-3.45, 1 Pr 3.23
Pm 0.5000 0.0000 0.5000  8 Y 3.15-3.35
Y 0.9223 0.0922 0.6634  3 Pm 3.15-3.45, 1 Pr 3.23
Pm 0.8141 0.6764 0.7112  8 Y 3.41-3.60, 2 Pm 3.62
Y 0.6726 0.3951 0.9231  5 Pm 3.35-3.57, 3 Y 3.65-3.69

Computed properties:
SG	No. 82
ΔH_f (0 K)	0.23	eV per atom

***

HoCd3Pd4 | PBE-GGA | optimized geometry

Cell: 4.7303 6.5548 9.4605 Å, 90.00 90.00 90.00°
Last column: nearest neighbours and their distance in Å.
Element x y z (fractional)
Pd 0.9988 0.7574 0.2500  6 Cd 2.85-2.91, 2 Ho 2.91, 1 Pd 3.18
Cd 0.5011 0.0000 0.7500  8 Pd 2.85
Cd 0.0000 0.0000 0.0000  8 Pd 2.85
Cd 0.0000 0.0000 0.5000  8 Pd 2.85
Pd 0.0012 0.7574 0.7500  6 Cd 2.85-2.91, 2 Ho 2.91, 1 Pd 3.18
Pd 0.5000 0.7573 0.0000  6 Cd 2.85-2.90, 2 Ho 2.90, 1 Pd 3.18
Pd 0.5000 0.7573 0.5000  6 Cd 2.85-2.90, 2 Ho 2.90, 1 Pd 3.18
Ho 0.0000 0.5000 0.0000  8 Pd 2.90-2.91
Pd 0.5000 0.2427 0.0000  6 Cd 2.85-2.90, 2 Ho 2.90, 1 Pd 3.18
Ho 0.0000 0.5000 0.5000  8 Pd 2.90-2.91
Cd 0.4989 0.0000 0.2500  8 Pd 2.85
Pd 0.0012 0.2426 0.7500  6 Cd 2.85-2.91, 2 Ho 2.91, 1 Pd 3.18
Cd 0.4992 0.5000 0.2500  8 Pd 2.90-2.91
Cd 0.5008 0.5000 0.7500  8 Pd 2.90-2.91
Pd 0.5000 0.2427 0.5000  6 Cd 2.85-2.90, 2 Ho 2.90, 1 Pd 3.18
Pd 0.9988 0.2426 0.2500  6 Cd 2.85-2.91, 2 Ho 2.91, 1 Pd 3.18

Computed properties:
SG	No. 51
ΔH_f (0 K)	-0.57	eV per atom

***

NdZr2N3 | PBE-GGA | optimized geometry

Cell: 6.1833 5.6528 5.6528 Å, 60.00 90.00 90.00°
Last column: nearest neighbours and their distance in Å.
Element x y z (fractional)
Nd 0.7500 0.5000 0.5000  6 N 2.74-2.91
Nd 0.2500 0.5000 0.5000  6 N 2.74-2.91
N 0.2500 0.0145 0.9855  4 Zr 2.25
N 0.2500 0.9856 0.5000  4 Zr 2.25
Zr 0.5000 0.1667 0.1667  6 N 2.25
Zr 0.0000 0.8333 0.8333  6 N 2.25
Zr 0.5000 0.8333 0.8333  6 N 2.25
N 0.7500 0.9855 0.0145  4 Zr 2.25
Zr 0.0000 0.1667 0.1667  6 N 2.25
N 0.2500 0.5000 0.0144  4 Zr 2.25
N 0.7500 0.5000 0.9856  4 Zr 2.25
N 0.7500 0.0144 0.5000  4 Zr 2.25

Computed properties:
SG	No. 193
formation energy from raw total energies	-1402	meV/atom

***

YPRu | PBE-GGA | optimized geometry

Cell: 4.5162 4.5162 4.5162 Å, 60.00 60.00 60.00°
Last column: nearest neighbours and their distance in Å.
Element x y z (fractional)
Ru 0.5000 0.5000 0.5000  4 Y 2.77
P 0.0000 0.0000 0.0000  4 Y 2.77
Y 0.2500 0.2500 0.2500  4 Ru 2.77, 4 P 2.77

Computed properties:
SG	No. 216
ΔH_f (0 K)	0.32	eV per atom

***

Li4Mn3TlCl12 | PBE-GGA | optimized geometry

Cell: 8.5689 8.5689 8.5689 Å, 108.48 108.48 108.48°
Last column: nearest neighbours and their distance in Å.
Element x y z (fractional)
Cl 0.9002 0.5000 0.0998  1 Li 2.35, 2 Mn 2.52
Mn 0.4341 0.0000 0.5659  6 Cl 2.42-2.53
Cl 0.3348 0.6652 0.5000  1 Li 2.30, 2 Mn 2.53
Tl 0.0000 0.0000 0.0000  6 Cl 3.33
Cl 0.3428 0.9391 0.2467  1 Li 2.33, 1 Mn 2.42
Cl 0.2467 0.3428 0.9391  1 Li 2.33, 1 Mn 2.42
Cl 0.6652 0.5000 0.3348  1 Li 2.30, 2 Mn 2.53
Cl 0.0998 0.9002 0.5000  1 Li 2.35, 2 Mn 2.52
Cl 0.9391 0.2467 0.3428  1 Li 2.33, 1 Mn 2.42
Mn 0.0000 0.5659 0.4341  6 Cl 2.42-2.53
Cl 0.5000 0.3348 0.6652  1 Li 2.30, 2 Mn 2.53
Cl 0.5000 0.0998 0.9002  1 Li 2.35, 2 Mn 2.52
Li 0.0693 0.5000 0.9307  3 Cl 2.33-2.35
Cl 0.7533 0.0609 0.6572  1 Li 2.33, 1 Mn 2.42
Li 0.5000 0.9307 0.0693  3 Cl 2.33-2.35
Cl 0.0609 0.6572 0.7533  1 Li 2.33, 1 Mn 2.42
Cl 0.6572 0.7533 0.0609  1 Li 2.33, 1 Mn 2.42
Mn 0.5659 0.4341 0.0000  6 Cl 2.42-2.53
Li 0.9307 0.0693 0.5000  3 Cl 2.33-2.35
Li 0.5000 0.5000 0.5000  3 Cl 2.30

Computed properties:
SG	No. 155
formation energy from raw total energies	-1297	meV/atom

***

Co2BiIrCl | PBE-GGA | optimized geometry

Cell: 4.2285 4.7614 4.2285 Å, 90.00 90.00 90.00°
Last column: nearest neighbours and their distance in Å.
Element x y z (fractional)
Bi 0.5000 0.5000 0.5000  4 Ir 2.99, 8 Co 3.18
Cl 0.0000 0.0000 0.0000  4 Co 2.11
Co 0.5000 0.0000 0.0000  2 Cl 2.11
Co 0.0000 0.0000 0.5000  2 Cl 2.11
Ir 0.0000 0.5000 0.0000  2 Cl 2.38

Computed properties:
SG	No. 123
formation energy from raw total energies	918	meV/atom

***

PrMg9Al3 | PBE-GGA | optimized geometry

Cell: 5.7051 7.6790 7.6298 Å, 82.06 68.05 68.33°
Last column: nearest neighbours and their distance in Å.
Element x y z (fractional)
Al 0.5000 0.5000 0.0000  10 Mg 2.85-3.07
Mg 0.6459 0.3486 0.3543  6 Mg 2.99-3.29, 3 Al 3.04-3.07
Al 0.5000 0.0000 0.5000  2 Al 2.85, 8 Mg 2.89-3.06
Mg 0.2889 0.2118 0.2157  3 Al 2.89-2.92, 6 Mg 2.94-3.20
Mg 0.5046 0.2118 0.7843  3 Al 2.89-2.92, 6 Mg 2.94-3.20
Mg 0.0002 0.3486 0.6457  6 Mg 2.99-3.29, 3 Al 3.04-3.07
Pr 0.0000 0.0000 0.0000  14 Mg 3.53-3.84, 6 Al 3.81-3.85
Mg 0.9998 0.6514 0.3543  6 Mg 2.99-3.29, 3 Al 3.04-3.07
Al 0.0000 0.0000 0.5000  2 Al 2.85, 8 Mg 2.89-3.06
Mg 0.4954 0.7882 0.2157  3 Al 2.89-2.92, 6 Mg 2.94-3.20
Mg 0.7111 0.7882 0.7843  3 Al 2.89-2.92, 6 Mg 2.94-3.20
Mg 0.3541 0.6514 0.6457  6 Mg 2.99-3.29, 3 Al 3.04-3.07
Mg 0.0000 0.5000 0.0000  2 Al 2.85, 8 Mg 2.94-3.09

Computed properties:
SG	No. 12
ΔH_f (0 K)	-0.09	eV per atom

***

Nd4Dy3Y4 | PBE-GGA | optimized geometry

Cell: 3.6139 9.3723 12.1904 Å, 112.61 98.52 90.00°
Last column: nearest neighbours and their distance in Å.
Element x y z (fractional)
Y 0.5000 0.1819 0.0000  3 Y 3.41-3.61, 2 Nd 3.43, 6 Dy 3.45-3.49
Dy 0.1081 0.1081 0.2162  6 Y 3.45-3.46, 4 Nd 3.60, 2 Dy 3.61
Dy 0.0000 0.5000 0.0000  4 Y 3.49, 2 Dy 3.61
Nd 0.3572 0.5352 0.7145  3 Nd 3.34-3.61, 4 Y 3.43-3.72, 2 Dy 3.60
Y 0.7407 0.2408 0.4815  2 Dy 3.46, 6 Nd 3.57-3.72, 2 Y 3.61
Y 0.2593 0.7592 0.5185  2 Dy 3.46, 6 Nd 3.57-3.72, 2 Y 3.61
Nd 0.3572 0.1793 0.7145  3 Nd 3.34-3.61, 4 Y 3.43-3.72, 2 Dy 3.60
Nd 0.6428 0.4648 0.2855  3 Nd 3.34-3.61, 4 Y 3.43-3.72, 2 Dy 3.60
Y 0.5000 0.8181 0.0000  3 Y 3.41-3.61, 2 Nd 3.43, 6 Dy 3.45-3.49
Dy 0.8919 0.8919 0.7838  6 Y 3.45-3.46, 4 Nd 3.60, 2 Dy 3.61
Nd 0.6428 0.8207 0.2855  3 Nd 3.34-3.61, 4 Y 3.43-3.72, 2 Dy 3.60

Computed properties:
SG	No. 71
ΔH_f (0 K)	0.12	eV per atom

***

Sequential E_tot output: -5.978; -1.311; -4.870; -5.110; -5.504; -4.086; -9.209; -6.727; -4.281; -4.842; -2.423; -5.215 eV per atom
Sequential D(E_F) output: 0.616; 0.504; 1.154; 0.688; 1.556; 0.366; 0.088; 1.034; 0.491; 1.394; 0.434; 1.699 states/eV per atom